Record 1
A relaxed structure of Tb2Pm2DyHo2, computed with PBE.

Results
The calculation puts the energy at -4.503 eV/atom. The value obtained for the energy of formation from the pure elements is 0.14 eV/atom.

The structure in POSCAR format:
```
Tb2Pm2DyHo2
1.0
-5.453 1.602 0.350
-4.102 -3.930 0.398
-2.602 -0.565 8.350
Ho Dy Tb Pm
2 1 2 2
direct
0.575 0.575 0.275
0.425 0.425 0.725
0.000 0.000 0.000
0.282 0.282 0.154
0.718 0.718 0.846
0.139 0.139 0.584
0.861 0.861 0.416
```

---

Record 2
A relaxed structure of Tb4Pm2DyHo2, computed with PBE.

Results
The calculation puts the energy at -4.633 eV/atom. The value obtained for the energy of formation from the pure elements is 0.01 eV/atom.

The structure in POSCAR format:
```
Tb4Pm2DyHo2
1.0
-0.496 -3.517 -0.594
9.074 0.078 2.876
-6.507 -0.270 7.029
Ho Tb Pm Dy
2 4 2 1
direct
0.333 0.667 0.999
0.667 0.333 0.001
0.518 0.037 0.330
0.185 0.369 0.332
0.482 0.963 0.670
0.815 0.631 0.668
0.852 0.704 0.333
0.148 0.296 0.667
0.000 0.000 0.000
```

---

Record 3
A relaxed structure of Tb3PmDy2Ho6, computed with PBE.

Results
The calculation puts the energy at -4.593 eV/atom. The value obtained for the energy of formation from the pure elements is 0.02 eV/atom.

The structure in POSCAR format:
```
Tb3PmDy2Ho6
1.0
6.140 0.002 0.010
-3.067 5.319 0.010
-1.036 -1.794 11.557
Tb Ho Pm Dy
3 6 1 2
direct
0.167 0.833 0.500
0.833 0.167 0.500
0.500 0.500 0.500
0.750 0.750 0.250
0.250 0.250 0.750
0.916 0.582 0.749
0.582 0.916 0.749
0.418 0.084 0.251
0.084 0.418 0.251
0.000 0.000 0.000
0.333 0.667 0.000
0.667 0.333 0.000
```

---

Record 4
A relaxed structure of TbPm2Dy4Ho2, computed with PBE.

Results
The calculation puts the energy at -4.548 eV/atom. The value obtained for the energy of formation from the pure elements is 0.08 eV/atom.

The structure in POSCAR format:
```
TbPm2Dy4Ho2
1.0
6.296 2.460 0.874
1.434 9.493 2.255
-3.288 -4.045 4.073
Dy Ho Pm Tb
4 2 2 1
direct
0.740 0.887 0.204
0.621 0.759 0.507
0.260 0.113 0.796
0.379 0.241 0.493
0.178 0.556 0.965
0.822 0.444 0.035
0.272 0.659 0.605
0.728 0.341 0.395
0.000 0.000 0.000
```

---

Record 5
A relaxed structure of Tb2PmDyHo, computed with PBE.

Results
The calculation puts the energy at -4.245 eV/atom. The value obtained for the energy of formation from the pure elements is 0.39 eV/atom.

The structure in POSCAR format:
```
Tb2PmDyHo
1.0
7.193 0.000 0.000
0.000 8.398 0.000
0.000 -4.199 5.741
Pm Tb Dy Ho
2 4 2 2
direct
0.750 0.274 0.548
0.250 0.726 0.452
0.000 0.309 0.000
0.000 0.691 0.000
0.500 0.691 0.000
0.500 0.309 0.000
0.750 0.005 0.009
0.250 0.995 0.991
0.250 0.274 0.547
0.750 0.726 0.453
```

---

Record 6
A relaxed structure of TbPmDy6Ho2, computed with PBE.

Results
The calculation puts the energy at -4.494 eV/atom. The value obtained for the energy of formation from the pure elements is 0.12 eV/atom.

The structure in POSCAR format:
```
TbPmDy6Ho2
1.0
9.081 -1.992 -2.067
0.817 8.501 -1.992
0.817 -2.306 8.421
Dy Ho Pm Tb
12 4 2 2
direct
0.183 0.566 0.018
0.683 0.018 0.566
0.817 0.434 0.982
0.619 0.491 0.708
0.943 0.879 0.249
0.119 0.708 0.491
0.443 0.249 0.879
0.317 0.982 0.434
0.057 0.121 0.751
0.881 0.292 0.509
0.381 0.509 0.292
0.557 0.751 0.121
0.046 0.302 0.198
0.954 0.698 0.802
0.454 0.802 0.698
0.546 0.198 0.302
0.750 0.026 0.974
0.250 0.974 0.026
0.750 0.591 0.409
0.250 0.409 0.591
```

---

Record 7
A relaxed structure of TbPmDy2Ho6, computed with PBE.

Results
The calculation puts the energy at -4.484 eV/atom. The value obtained for the energy of formation from the pure elements is 0.12 eV/atom.

The structure in POSCAR format:
```
TbPmDy2Ho6
1.0
-8.828 2.057 2.935
-1.961 0.969 -8.471
-0.149 -8.090 3.327
Ho Pm Dy Tb
12 2 4 2
direct
0.317 0.980 0.432
0.183 0.568 0.020
0.557 0.749 0.123
0.119 0.708 0.492
0.817 0.432 0.980
0.683 0.020 0.568
0.381 0.508 0.292
0.881 0.292 0.508
0.619 0.492 0.708
0.443 0.251 0.877
0.057 0.123 0.749
0.943 0.877 0.251
0.250 0.976 0.024
0.750 0.024 0.976
0.955 0.698 0.803
0.045 0.302 0.197
0.545 0.197 0.302
0.455 0.803 0.698
0.750 0.591 0.409
0.250 0.409 0.591
```

---

Record 8
A relaxed structure of TbPm2DyHo2, computed with PBE.

Results
The calculation puts the energy at -4.382 eV/atom. The value obtained for the energy of formation from the pure elements is 0.27 eV/atom.

The structure in POSCAR format:
```
TbPm2DyHo2
1.0
-0.547 -0.364 3.324
4.964 -4.272 0.350
11.376 13.492 3.351
Ho Pm Dy Tb
4 4 2 2
direct
0.500 0.775 0.354
0.000 0.275 0.146
0.500 0.225 0.646
0.000 0.725 0.854
0.500 0.727 0.686
0.500 0.273 0.314
0.000 0.227 0.814
0.000 0.773 0.186
0.500 0.500 0.000
0.000 0.000 0.500
0.500 0.500 0.500
0.000 0.000 0.000
```

---

Record 9
A relaxed structure of Tb2Pm4DyHo, computed with PBE.

Results
The calculation puts the energy at -4.666 eV/atom. The value obtained for the energy of formation from the pure elements is 0.01 eV/atom.

The structure in POSCAR format:
```
Tb2Pm4DyHo
1.0
5.109 0.000 0.000
0.000 5.000 0.956
0.000 3.110 10.897
Tb Dy Pm Ho
2 1 4 1
direct
0.000 0.000 0.000
0.500 0.000 0.500
0.500 0.500 0.000
0.500 0.750 0.250
0.000 0.249 0.250
0.000 0.751 0.750
0.500 0.250 0.750
0.000 0.500 0.500
```

---

Record 10
A relaxed structure of TbPm6Dy3Ho2, computed with PBE.

Results
The calculation puts the energy at -4.662 eV/atom. The value obtained for the energy of formation from the pure elements is 0.01 eV/atom.

The structure in POSCAR format:
```
TbPm6Dy3Ho2
1.0
6.237 0.000 0.009
-3.118 5.402 0.009
-1.054 -1.825 11.649
Pm Dy Ho Tb
6 3 2 1
direct
0.583 0.916 0.750
0.250 0.250 0.750
0.916 0.583 0.750
0.750 0.750 0.250
0.084 0.417 0.250
0.417 0.084 0.250
0.500 0.500 0.500
0.167 0.833 0.500
0.833 0.167 0.500
0.333 0.667 0.000
0.667 0.333 0.000
0.000 0.000 0.000
```

---

Record 11
A relaxed structure of Tb4PmDyHo2, computed with PBE.

Results
The calculation puts the energy at -4.196 eV/atom. The value obtained for the energy of formation from the pure elements is 0.43 eV/atom.

The structure in POSCAR format:
```
Tb4PmDyHo2
1.0
-3.414 -8.190 -3.377
8.226 -4.414 1.727
-5.507 8.022 6.622
Pm Tb Ho Dy
2 8 4 2
direct
0.000 0.500 0.000
0.000 0.500 0.500
0.251 0.247 0.499
0.251 0.752 0.502
0.747 0.751 0.999
0.252 0.751 0.002
0.749 0.248 0.498
0.749 0.753 0.501
0.748 0.249 0.998
0.253 0.249 0.001
0.500 0.500 0.000
0.500 0.000 0.000
0.500 0.000 0.500
0.000 0.000 0.500
0.000 0.000 0.000
0.500 0.500 0.500
```

---

Record 12
A relaxed structure of Tb2Pm2DyHo4, computed with PBE.

Results
The calculation puts the energy at -4.633 eV/atom. The value obtained for the energy of formation from the pure elements is 0.00 eV/atom.

The structure in POSCAR format:
```
Tb2Pm2DyHo4
1.0
3.592 0.000 0.000
-1.796 9.309 -0.502
0.000 -3.673 8.812
Pm Ho Tb Dy
2 4 2 1
direct
0.334 0.669 0.000
0.666 0.331 0.000
0.815 0.629 0.664
0.481 0.961 0.666
0.185 0.371 0.336
0.519 0.039 0.334
0.853 0.706 0.337
0.147 0.294 0.663
0.000 0.000 0.000
```